[1]
{
  "formula": "AsOF",
  "functional": "GGA-PBE",
  "state": "optimized geometry",
  "e_form_raw_ev_per_fu": -5.0,
  "spacegroup": "Cc",
  "cell": [[-0.569, -0.549, -4.556], [-2.552, -3.912, 0.678], [-5.624, 0.914, 0.536]],
  "species": ["F", "F", "O", "O", "As", "As"],
  "fractional_positions": [[0.000, 0.188, 0.743], [0.500, 0.931, 0.257], [0.909, 0.613, 0.118], [0.409, 0.731, 0.882], [0.533, 0.572, 0.214], [0.033, 0.786, 0.786]]
}



[2]
{
  "formula": "BaCeRhSe4",
  "functional": "GGA-PBE",
  "state": "optimized geometry",
  "e_form_raw_ev_per_fu": -8.5,
  "spacegroup": "Cmcm",
  "cell": [[6.719, 0.000, 0.000], [0.000, 7.244, 0.000], [-3.359, 0.000, 7.619]],
  "species": ["Se", "Se", "Se", "Se", "Se", "Se", "Se", "Se", "Ba", "Ba", "Rh", "Rh", "Ce", "Ce"],
  "fractional_positions": [[0.000, 0.500, 0.500], [0.602, 0.250, 0.204], [0.940, 0.250, 0.881], [0.000, 0.000, 0.500], [0.500, 0.500, 0.500], [0.060, 0.750, 0.119], [0.500, 0.000, 0.500], [0.398, 0.750, 0.796], [0.601, 0.750, 0.202], [0.399, 0.250, 0.798], [0.767, 0.250, 0.534], [0.233, 0.750, 0.466], [0.871, 0.750, 0.741], [0.129, 0.250, 0.259]]
}



[3]
{
  "formula": "CePmAlZn",
  "functional": "GGA-PBE",
  "state": "optimized geometry",
  "delta_e_f_ev_per_atom": -0.274,
  "spacegroup": "F-43m",
  "cell": [[-3.507, 3.417, -1.716], [-4.990, -0.518, 1.322], [-2.173, 3.365, 3.298]],
  "species": ["Pm", "Al", "Zn", "Ce"],
  "fractional_positions": [[0.750, 0.750, 0.750], [0.500, 0.500, 0.500], [0.000, 0.000, 0.000], [0.250, 0.250, 0.250]]
}



[4]
{
  "formula": "Eu2OF",
  "functional": "GGA-PBE",
  "state": "optimized geometry",
  "e_form_raw_ev_per_fu": -8.8,
  "polymorph_energy_mev_per_atom": 415,
  "spacegroup": "P4/mmm",
  "cell": [[-2.760, 1.297, 0.901], [-1.506, -2.707, -0.717], [0.961, -2.122, 5.994]],
  "species": ["F", "Eu", "Eu", "O"],
  "fractional_positions": [[0.500, 0.500, 0.500], [0.000, 0.000, 0.769], [0.000, 0.000, 0.231], [0.500, 0.500, 0.000]]
}



[5]
{
  "formula": "SiHg2As2",
  "functional": "GGA-PBE",
  "state": "optimized geometry",
  "e_form_raw_ev_per_fu": 2.1,
  "polymorph_energy_mev_per_atom": 0,
  "spacegroup": "P4/mbm",
  "cell": [[7.156, 0.000, 0.000], [0.000, 7.156, 0.000], [0.000, 0.000, 4.559]],
  "species": ["Hg", "Hg", "Hg", "Hg", "Si", "Si", "As", "As", "As", "As"],
  "fractional_positions": [[0.142, 0.642, 0.500], [0.858, 0.358, 0.500], [0.642, 0.858, 0.500], [0.358, 0.142, 0.500], [0.500, 0.500, 0.000], [0.000, 0.000, 0.000], [0.704, 0.204, 0.000], [0.796, 0.704, 0.000], [0.204, 0.296, 0.000], [0.296, 0.796, 0.000]]
}



[6]
{
  "formula": "Mn2NiMo",
  "functional": "GGA-PBE",
  "state": "optimized geometry",
  "delta_e_f_ev_per_atom": 0.161,
  "spacegroup": "P2/m",
  "cell": [[-0.557, 2.096, -3.528], [-0.226, -2.203, -1.273], [-4.759, -0.457, 0.480]],
  "species": ["Mo", "Ni", "Mn", "Mn"],
  "fractional_positions": [[0.500, 0.250, 0.250], [0.500, 0.750, 0.750], [0.000, 0.495, 0.506], [0.000, 0.005, 0.994]]
}



Total magnetic moment list, top to bottom, in μB per atom: 0.000 0.065 0.117 3.743 0.000 0.947
Calculated total energy list, top to bottom, in Ha/atom: -0.2013 -0.1975 -0.1543 -0.3324 -0.0973 -0.3152